Density functional theory data (GGA-PBE) for an optimized crystal structure of Li2ZnPd2O6.

abc: 5.3251 5.3251 5.2315
angles: 99.79 99.79 120.82
Element x y z (fractional)
Li 0.1674 0.8326 0.0000
Li 0.8326 0.1674 0.0000
Zn 0.0000 0.0000 0.5000
Pd 0.3357 0.6643 0.5000
Pd 0.6643 0.3357 0.5000
O 0.0675 0.4278 0.7239
O 0.2550 0.2550 0.2824
O 0.4278 0.0675 0.7239
O 0.5722 0.9325 0.2761
O 0.7450 0.7450 0.7176
O 0.9325 0.5722 0.2761

Its uncorrected formation energy is -1.03 eV/atom. Its symmetry is C2/m, No. 12.